Entry 1:
Here is an optimized crystal structure of Pm4IrAu2 from the Alexandria database. Energies are from GGA-PBE.

CIF file:
```
data_Pm4IrAu2
_chemical_formula_sum 'Pm12 Ir3 Au6'
_cell_length_a 5.1037
_cell_length_b 5.1037
_cell_length_c 25.2806
_cell_angle_alpha 90.00
_cell_angle_beta 90.00
_cell_angle_gamma 120.00
_space_group_name_H-M_alt 'R -3 m'
_space_group_IT_number 166
_space_group_name_Hall '-R 3 2"'
loop_
_atom_site_label
_atom_site_fract_x
_atom_site_fract_y
_atom_site_fract_z
_atom_site_occupancy
Pm1 0.0000 0.0000 0.1200 1
Pm2 0.0000 0.0000 0.3706 1
Ir1 0.0000 0.0000 0.0000 1
Au1 0.0000 0.0000 0.2415 1
```

Results
Calculated formation energy (eV/f.u.): -4.260



Entry 2:
Here is an optimized crystal structure of Pm3DyPu2S6 from the Alexandria database. Energies are from GGA-PBE.

CIF file:
```
data_Pm3DyPu2S6
_chemical_formula_sum 'Pm6 Dy2 Pu4 S12'
_cell_length_a 6.8879
_cell_length_b 11.9321
_cell_length_c 6.9274
_cell_angle_alpha 90.00
_cell_angle_beta 109.32
_cell_angle_gamma 90.00
_space_group_name_H-M_alt 'C 1 2/m 1'
_space_group_IT_number 12
loop_
_space_group_symop_operation_xyz
'x,y,z'
'-x,-y,-z'
'-x,y,-z'
'x,-y,z'
'x+1/2,y+1/2,z'
'-x+1/2,-y+1/2,-z'
'-x+1/2,y+1/2,-z'
'x+1/2,-y+1/2,z'
loop_
_atom_site_label
_atom_site_fract_x
_atom_site_fract_y
_atom_site_fract_z
_atom_site_occupancy
Pm1 0.0000 0.0000 0.0000 1
Pm2 0.0000 0.3328 0.0000 1
Dy1 0.0000 0.5000 0.5000 1
Pu1 0.0000 0.1665 0.5000 1
S1 0.2463 0.3340 0.7408 1
S2 0.2489 0.0000 0.7425 1
```

Results
E_form (uncorrected) (meV per atom): -1957



Entry 3:
Here is an optimized crystal structure of DyNiPt4 from the Alexandria database. Energies are from GGA-PBE.

CIF file:
```
data_DyNiPt4
_chemical_formula_sum 'Dy4 Ni4 Pt16'
_cell_length_a 7.5032
_cell_length_b 7.5032
_cell_length_c 7.5032
_cell_angle_alpha 90.00
_cell_angle_beta 90.00
_cell_angle_gamma 90.00
_space_group_name_H-M_alt 'F -4 3 m'
_space_group_IT_number 216
_space_group_name_Hall 'F -4 2 3'
loop_
_atom_site_label
_atom_site_fract_x
_atom_site_fract_y
_atom_site_fract_z
_atom_site_occupancy
Dy1 0.0000 0.0000 0.0000 1
Ni1 0.2500 0.2500 0.7500 1
Pt1 0.1243 0.1243 0.3757 1
```

Results
Calculated formation energy (eV/f.u.): -3.145



Entry 4:
Here is an optimized crystal structure of FeSnGeAs2 from the Alexandria database. Energies are from GGA-PBE.

CIF file:
```
data_FeSnGeAs2
_chemical_formula_sum 'Fe1 Sn1 Ge1 As2'
_cell_length_a 4.9031
_cell_length_b 4.9031
_cell_length_c 5.3432
_cell_angle_alpha 90.00
_cell_angle_beta 90.00
_cell_angle_gamma 90.00
_space_group_name_H-M_alt 'P 4/m m m'
_space_group_IT_number 123
_space_group_name_Hall '-P 4 2'
loop_
_atom_site_label
_atom_site_fract_x
_atom_site_fract_y
_atom_site_fract_z
_atom_site_occupancy
Fe1 0.0000 0.0000 0.0000 1
Sn1 0.5000 0.5000 0.0000 1
Ge1 0.5000 0.5000 0.5000 1
As1 0.0000 0.5000 0.5000 1
```

Results
Calculated formation energy (eV/f.u.): 5.544



Entry 5:
Here is an optimized crystal structure of Hf6SbH2 from the Alexandria database. Energies are from GGA-PBE.

CIF file:
```
data_Hf6SbH2
_chemical_formula_sum 'Hf24 Sb4 H8'
_cell_length_a 10.8127
_cell_length_b 10.1949
_cell_length_c 6.2777
_cell_angle_alpha 90.00
_cell_angle_beta 108.01
_cell_angle_gamma 90.00
_space_group_name_H-M_alt 'C 1 2/c 1'
_space_group_IT_number 15
loop_
_space_group_symop_operation_xyz
'x,y,z'
'-x,-y,-z'
'-x,y,-z+1/2'
'x,-y,z+1/2'
'x+1/2,y+1/2,z'
'-x+1/2,-y+1/2,-z'
'-x+1/2,y+1/2,-z+1/2'
'x+1/2,-y+1/2,z+1/2'
loop_
_atom_site_label
_atom_site_fract_x
_atom_site_fract_y
_atom_site_fract_z
_atom_site_occupancy
Hf1 0.1169 0.0776 0.1531 1
Hf2 0.1365 0.4579 0.9740 1
Hf3 0.1412 0.2203 0.6945 1
Sb1 0.0000 0.3151 0.2500 1
H1 0.2439 0.4424 0.2989 1
```

Results
Raw total energy (eV/atom): -8.04



Entry 6:
Here is an optimized crystal structure of BeGeRh2 from the Alexandria database. Energies are from GGA-PBE.

CIF file:
```
data_BeGeRh2
_chemical_formula_sum 'Be2 Ge2 Rh4'
_cell_length_a 2.7416
_cell_length_b 4.3798
_cell_length_c 9.5745
_cell_angle_alpha 90.00
_cell_angle_beta 90.00
_cell_angle_gamma 90.00
_space_group_name_H-M_alt 'I m m m'
_space_group_IT_number 71
_space_group_name_Hall '-I 2 2'
loop_
_atom_site_label
_atom_site_fract_x
_atom_site_fract_y
_atom_site_fract_z
_atom_site_occupancy
Be1 0.0000 0.0000 0.0000 1
Ge1 0.0000 0.0000 0.5000 1
Rh1 0.0000 0.0000 0.2205 1
```

Results
Calculated formation energy (eV/f.u.): 0.782



| no. | ρ (g/cm³) |
| --- | --- |
| 1 | 10.19 |
| 2 | 7.90 |
| 3 | 15.75 |
| 4 | 5.13 |
| 5 | 12.06 |
| 6 | 8.30 |